Entry from Alexandria: a geometry-optimized EuDySc2 structure (GGA-PBE).

Unit cell a=3.5014 b=3.5014 c=9.6225 alpha=90.00 beta=90.00 gamma=90.00
Space group P4/mmm (No. 123)
Asymmetric unit:
Eu (0.0000, 0.0000, 0.0000) (multiplicity 1)
Dy (0.0000, 0.0000, 0.5000) (multiplicity 1)
Sc (0.5000, 0.5000, 0.2663) (multiplicity 2)

Output
V (Å³ per cell): 118.0
Calculated formation energy (meV per atom): 124
Electronic total energy (eV/atom): -6.761
ΔE to the lowest computed polymorph (meV/atom): 0.0
Spin magnetization (μB per atom): 2.03

Entry from Alexandria: a geometry-optimized BaPt2Se structure (GGA-PBE).

Unit cell a=4.6012 b=4.6012 c=16.2581 alpha=90.00 beta=90.00 gamma=120.00
Space group R3m (No. 160, hexagonal axes)
Asymmetric unit:
Ba (0.0000, 0.0000, 0.0000) (multiplicity 3)
Pt (0.0000, 0.0000, 0.2015) (multiplicity 3)
Pt (0.0000, 0.0000, 0.5052) (multiplicity 3)
Se (0.0000, 0.0000, 0.8034) (multiplicity 3)

Output
V (Å³ per cell): 298.1
Electronic total energy (eV/atom): -4.984
Spin magnetization (μB per atom): 0.00
Formation energy (no corrections) (meV per atom): -611.7

Entry from Alexandria: a geometry-optimized LiAc2Si4Pd3 structure (GGA-PBE).

Unit cell a=4.3875 b=4.3875 c=10.1955 alpha=90.00 beta=90.00 gamma=90.00
Space group P-4m2 (No. 115)
Asymmetric unit:
Li (0.0000, 0.0000, 0.0000) (multiplicity 1)
Ac (0.0000, 0.5000, 0.7505) (multiplicity 2)
Si (0.0000, 0.0000, 0.5000) (multiplicity 1)
Si (0.0000, 0.5000, 0.1321) (multiplicity 2)
Si (0.5000, 0.5000, 0.5000) (multiplicity 1)
Pd (0.0000, 0.5000, 0.3824) (multiplicity 2)
Pd (0.5000, 0.5000, 0.0000) (multiplicity 1)

Output
V (Å³ per cell): 196.3
Electronic total energy (eV/atom): -5.479
Spin magnetization (μB per atom): 0.00
Formation energy (no corrections) (meV per atom): -738.9

Entry from Alexandria: a geometry-optimized CaCuP2F structure (GGA-PBE).

Unit cell a=4.2222 b=4.2222 c=5.9116 alpha=90.00 beta=90.00 gamma=90.00
Space group P4/mmm (No. 123)
Asymmetric unit:
Ca (0.0000, 0.0000, 0.0000) (multiplicity 1)
Cu (0.0000, 0.0000, 0.5000) (multiplicity 1)
P (0.0000, 0.5000, 0.5000) (multiplicity 2)
F (0.5000, 0.5000, 0.0000) (multiplicity 1)

Output
V (Å³ per cell): 105.4
Electronic total energy (eV/atom): -4.243
Spin magnetization (μB per atom): 0.00
Formation energy (no corrections) (meV per atom): -485.0

Entry from Alexandria: a geometry-optimized LiTe2O4 structure (GGA-PBE).

Unit cell a=7.6076 b=11.8888 c=6.5998 alpha=90.00 beta=90.00 gamma=90.00
Space group Cccm (No. 66)
Asymmetric unit:
Li (0.0000, 0.0000, 0.2500) (multiplicity 4)
Te (0.0405, 0.2572, 0.0000) (multiplicity 8)
O (0.0112, 0.1058, 0.5000) (multiplicity 8)
O (0.2500, 0.2500, 0.1931) (multiplicity 8)

Output
V (Å³ per cell): 596.9
Electronic total energy (eV/atom): -5.066
Spin magnetization (μB per atom): 0.00
Formation energy (no corrections) (meV per atom): -1062.0

Entry from Alexandria: a geometry-optimized KRb2Rh3F12 structure (GGA-PBE).

Unit cell a=7.4787 b=7.4787 c=18.9754 alpha=90.00 beta=90.00 gamma=120.00
Space group R-3m (No. 166, hexagonal axes)
Asymmetric unit:
K (0.0000, 0.0000, 0.0000) (multiplicity 3)
Rb (0.0000, 0.0000, 0.3764) (multiplicity 6)
Rh (0.0000, 0.5000, 0.5000) (multiplicity 9)
F (0.0411, 0.5206, 0.3959) (multiplicity 18)
F (0.0607, 0.5303, 0.8148) (multiplicity 18)

Output
V (Å³ per cell): 919.1
Electronic total energy (eV/atom): -4.649
Spin magnetization (μB per atom): 0.00
Formation energy (no corrections) (meV per atom): -2008.1

Entry from Alexandria: a geometry-optimized HoTm3Cu4 structure (GGA-PBE).

Unit cell a=3.4085 b=4.8569 c=9.7141 alpha=90.00 beta=90.00 gamma=90.00
Space group Pmmm (No. 47)
Asymmetric unit:
Ho (0.0000, 0.0000, 0.0000) (multiplicity 1)
Tm (0.0000, 0.0000, 0.5000) (multiplicity 1)
Tm (0.0000, 0.5000, 0.2507) (multiplicity 2)
Cu (0.5000, 0.0000, 0.2516) (multiplicity 2)
Cu (0.5000, 0.5000, 0.0000) (multiplicity 1)
Cu (0.5000, 0.5000, 0.5000) (multiplicity 1)

Output
V (Å³ per cell): 160.8
Calculated formation energy (meV per atom): -285
Electronic total energy (eV/atom): -4.582
Spin magnetization (μB per atom): 0.00

Entry from Alexandria: a geometry-optimized CrRu2Se structure (GGA-PBE).

Unit cell a=2.8228 b=2.8228 c=24.5617 alpha=90.00 beta=90.00 gamma=120.00
Space group R3m (No. 160, hexagonal axes)
Asymmetric unit:
Cr (0.0000, 0.0000, 0.0000) (multiplicity 3)
Ru (0.0000, 0.0000, 0.5030) (multiplicity 3)
Ru (0.0000, 0.0000, 0.7515) (multiplicity 3)
Se (0.0000, 0.0000, 0.2594) (multiplicity 3)

Output
V (Å³ per cell): 169.5
Electronic total energy (eV/atom): -7.616
Spin magnetization (μB per atom): 0.00
Formation energy (no corrections) (meV per atom): 298.6

Entry from Alexandria: a geometry-optimized PmSm2Br structure (GGA-PBE).

Unit cell a=3.5923 b=3.5923 c=9.7164 alpha=90.00 beta=90.00 gamma=90.00
Space group P4/mmm (No. 123)
Asymmetric unit:
Pm (0.0000, 0.0000, 0.0000) (multiplicity 1)
Sm (0.5000, 0.5000, 0.2644) (multiplicity 2)
Br (0.0000, 0.0000, 0.5000) (multiplicity 1)

Output
V (Å³ per cell): 125.4
Electronic total energy (eV/atom): -4.414
ΔE to the lowest computed polymorph (meV/atom): 105.2
Spin magnetization (μB per atom): 0.00
Formation energy (no corrections) (meV per atom): -448.7

Entry from Alexandria: a geometry-optimized CoRu2W structure (GGA-PBE).

Unit cell a=2.7236 b=2.7236 c=26.1844 alpha=90.00 beta=90.00 gamma=120.00
Space group R-3m (No. 166, hexagonal axes)
Asymmetric unit:
Co (0.0000, 0.0000, 0.0000) (multiplicity 3)
Ru (0.0000, 0.0000, 0.2531) (multiplicity 6)
W (0.0000, 0.0000, 0.5000) (multiplicity 3)

Output
V (Å³ per cell): 168.2
Calculated formation energy (meV per atom): 191
Electronic total energy (eV/atom): -9.461
ΔE to the lowest computed polymorph (meV/atom): 216.8
Spin magnetization (μB per atom): 0.47

Entry from Alexandria: a geometry-optimized LiLaTl2Pd4 structure (GGA-PBE).

Unit cell a=4.7250 b=4.7250 c=24.5079 alpha=90.00 beta=90.00 gamma=120.00
Space group R-3m (No. 166, hexagonal axes)
Asymmetric unit:
Li (0.0000, 0.0000, 0.0000) (multiplicity 3)
La (0.0000, 0.0000, 0.5000) (multiplicity 3)
Tl (0.0000, 0.0000, 0.2587) (multiplicity 6)
Pd (0.0000, 0.0000, 0.1048) (multiplicity 6)
Pd (0.0000, 0.0000, 0.3750) (multiplicity 6)

Output
V (Å³ per cell): 473.8
Calculated formation energy (meV per atom): -470
Electronic total energy (eV/atom): -4.513
Spin magnetization (μB per atom): 0.00

Entry from Alexandria: a geometry-optimized Nd5Cd2Hg structure (GGA-PBE).

Unit cell a=7.9124 b=7.9124 c=15.8535 alpha=90.00 beta=90.00 gamma=90.00
Space group I4/mcm (No. 140)
Asymmetric unit:
Nd (0.0000, 0.0000, 0.0000) (multiplicity 4)
Nd (0.1650, 0.3350, 0.1556) (multiplicity 16)
Cd (0.1271, 0.3729, 0.5000) (multiplicity 8)
Hg (0.0000, 0.0000, 0.2500) (multiplicity 4)

Output
V (Å³ per cell): 992.5
Calculated formation energy (meV per atom): -211
Electronic total energy (eV/atom): -3.458
ΔE to the lowest computed polymorph (meV/atom): 29.8
Spin magnetization (μB per atom): 0.00